# Tl2Hg4Au (PBE, relaxed)
data_Tl2Hg4Au
_chemical_formula_sum 'Tl8 Hg16 Au4'
_symmetry_space_group_name_H-M 'F m m 2'
_symmetry_Int_Tables_number 42
_symmetry_space_group_name_Hall 'F 2 -2'
_cell_length_a 8.9656
_cell_length_b 9.4582
_cell_length_c 9.4225
_cell_angle_alpha 90.00
_cell_angle_beta 90.00
_cell_angle_gamma 90.00
loop_
_atom_site_label
_atom_site_type_symbol
_atom_site_fract_x
_atom_site_fract_y
_atom_site_fract_z
Tl1 Tl 0.2500 0.2500 0.0000
Hg1 Hg 0.0000 0.1740 0.2678
Hg2 Hg 0.1764 0.0000 0.7288
Au1 Au 0.0000 0.0000 0.9995
# Density ... 11.71 Mg/m³
# Uncorrected energy ... -9.0 eV per formula unit
# Magnetic moment ... 0.00 μB per formula unit
# Energy of formation ... 0.0242 eV per atom